--- i ---
! Y4InHg PBE optimized geometry; values from VASP
! Space group = P4/mmm
&SYSTEM
  ibrav = 0, nat = 6, ntyp = 3
/
ATOMIC_SPECIES
Hg 200.59 Hg.upf
In 114.82 In.upf
Y 88.91 Y.upf
CELL_PARAMETERS angstrom
5.135 0.000 -0.002
0.000 5.135 -0.003
0.003 0.005 7.330
ATOMIC_POSITIONS crystal
Hg 0.001 0.997 0.498
In 0.501 0.497 0.998
Y 0.501 0.997 0.741
Y 0.001 0.497 0.255
Y 0.501 0.997 0.255
Y 0.001 0.497 0.741

***

--- ii ---
! Y4InHg PBE optimized geometry; values from VASP
! Space group = F-43m
&SYSTEM
  ibrav = 0, nat = 6, ntyp = 3
/
ATOMIC_SPECIES
Y 88.91 Y.upf
Hg 200.59 Hg.upf
In 114.82 In.upf
CELL_PARAMETERS angstrom
-5.383 -1.441 2.978
-3.644 4.600 2.343
-5.557 1.316 -2.705
ATOMIC_POSITIONS crystal
Y 0.375 0.375 0.375
Y 0.375 0.876 0.375
Y 0.876 0.375 0.375
Y 0.375 0.375 0.876
Hg 0.750 0.750 0.750
In 0.000 0.000 0.000

***

The calculated energies rank the structures as follows, beginning with the most stable: i, ii.

***

--- i ---
! Y3InHg PBE optimized geometry; values from VASP
! Space group = Pm-3m
&SYSTEM
  ibrav = 0, nat = 5, ntyp = 3
/
ATOMIC_SPECIES
Hg 200.59 Hg.upf
Y 88.91 Y.upf
In 114.82 In.upf
CELL_PARAMETERS angstrom
-0.029 3.412 4.444
-5.311 -1.432 1.064
1.784 -4.207 3.241
ATOMIC_POSITIONS crystal
Hg 0.000 0.000 0.000
Y 0.000 0.000 0.500
Y 0.500 0.000 0.000
Y 0.000 0.500 0.000
In 0.500 0.500 0.500

***

--- ii ---
! Y3InHg PBE optimized geometry; values from VASP
! Space group = Cmcm
&SYSTEM
  ibrav = 0, nat = 10, ntyp = 3
/
ATOMIC_SPECIES
Hg 200.59 Hg.upf
Y 88.91 Y.upf
In 114.82 In.upf
CELL_PARAMETERS angstrom
5.176 0.000 1.183
0.000 5.309 0.000
0.384 0.000 10.236
ATOMIC_POSITIONS crystal
Hg 0.173 0.250 0.302
Hg 0.475 0.750 0.698
Y 0.765 0.250 0.119
Y 0.884 0.750 0.881
Y 0.385 0.250 0.878
Y 0.263 0.750 0.122
Y 0.575 0.250 0.499
Y 0.074 0.750 0.501
In 0.978 0.250 0.692
In 0.670 0.750 0.308

***

The calculated energies rank the structures as follows, beginning with the most stable: ii, i.